(1)
# HfZnPO

A relaxed HfZnPO crystal (PBE-GGA, the Open Quantum Materials Database).

Results
Space group: Pmc2_1
Crystal system: orthorhombic
Raw total energy (eV/cell): -53.47

Cell and atoms, written as extended XYZ:
```
8
Lattice="-3.6385 1.2982 0.8095 0.9708 -1.0364 6.0254 1.8874 4.9488 0.5471" Properties=species:S:1:pos:R:3 pbc="T T T"
Hf 2.0355 4.1574 2.4819
Hf 1.4231 1.3293 4.2646
O 0.1267 4.9389 2.2717
O -0.2866 1.8983 5.2901
P 1.0037 1.7116 1.7666
P 2.4194 3.6821 4.9697
Zn -0.7189 3.1717 1.3051
Zn -0.8883 -0.1293 5.8372
```


(2)
# Hf2Pa2O5

A relaxed Hf2Pa2O5 crystal (PBE-GGA, the Open Quantum Materials Database).

Results
Space group: P4/mmm
Crystal system: tetragonal
Raw total energy (eV/cell): -78.10
Energy above the most stable polymorph in this dataset (eV per atom): 0.584

Cell and atoms, written as extended XYZ:
```
9
Lattice="-7.0954 -4.8595 -4.1399 2.5211 -2.3883 -1.5175 -0.2633 -2.2216 3.0590" Properties=species:S:1:pos:R:3 pbc="T T T"
O -1.2017 -2.8805 -2.1954
O -3.3726 -4.3673 -3.4620
O -2.5939 -2.7971 0.0929
O -2.4188 -4.7347 -1.2992
O -4.7648 -4.2840 -1.1737
Hf 0.0000 0.0000 0.0000
Hf -3.5477 -2.4297 -2.0699
Pa -4.3123 -6.0315 -2.4040
Pa -0.5253 -3.4379 -0.1944
```


(3)
# Hf2Pa2O5

A relaxed Hf2Pa2O5 crystal (PBE-GGA, the Open Quantum Materials Database).

Results
Space group: P4/mmm
Crystal system: tetragonal
Raw total energy (eV/cell): -83.35
Energy above the most stable polymorph in this dataset (eV per atom): 0.000

Cell and atoms, written as extended XYZ:
```
9
Lattice="7.3919 0.0000 0.0000 0.0000 4.1392 0.0000 0.0000 0.0000 4.1392" Properties=species:S:1:pos:R:3 pbc="T T T"
O 1.8779 0.0000 2.0696
O 1.8779 2.0696 0.0000
O 5.5140 2.0696 0.0000
O 5.5140 0.0000 2.0696
O 3.6960 2.0696 2.0696
Pa 3.6960 0.0000 0.0000
Pa 0.0000 0.0000 0.0000
Hf 1.5716 2.0696 2.0696
Hf 5.8203 2.0696 2.0696
```


(4)
# HfPa2O4

A relaxed HfPa2O4 crystal (PBE-GGA, the Open Quantum Materials Database).

Results
Space group: Fd-3m
Crystal system: cubic
Raw total energy (eV/cell): -126.39

Cell and atoms, written as extended XYZ:
```
14
Lattice="4.8395 -4.8407 0.0000 -4.8395 0.0000 -4.8407 4.8395 4.8407 0.0000" Properties=species:S:1:pos:R:3 pbc="T T T"
O 1.2838 -1.2834 -3.5573
O -1.2838 1.2834 -3.5573
O 3.5557 -1.2834 -1.2834
O 1.1360 1.1369 -1.1369
O 3.7035 1.1369 -3.7038
O 3.7035 3.7038 -1.1369
O 6.1233 1.2834 -1.2834
O 1.1360 3.7038 -3.7038
Pa 3.6296 1.2102 -1.2102
Pa 6.0494 -1.2102 -1.2102
Pa 1.2099 1.2102 -3.6305
Pa -1.2099 -1.2102 -3.6305
Hf 0.0000 0.0000 0.0000
Hf 2.4197 -2.4203 -2.4203
```


(5)
# Hf4PbO9

A relaxed Hf4PbO9 crystal (PBE-GGA, the Open Quantum Materials Database).

Results
Space group: C2
Crystal system: monoclinic
Raw total energy (eV/cell): -131.00

Cell and atoms, written as extended XYZ:
```
14
Lattice="3.9168 -5.9093 0.0000 3.9168 5.9093 0.0000 -2.5757 0.0000 4.6600" Properties=species:S:1:pos:R:3 pbc="T T T"
O 4.3415 1.8234 2.0164
O 3.9168 -2.7389 0.0000
O 4.0825 -0.9491 2.4696
O 2.3561 1.0111 0.4109
O 2.3335 3.8429 3.7012
O 0.9164 1.8234 2.6436
O 1.1754 -0.9491 2.1904
O 2.9244 3.8429 0.9589
O 2.9018 1.0111 4.2491
Hf 0.2649 -2.4228 3.0655
Hf 4.9930 -2.4228 1.5945
Hf 2.6290 0.3971 2.3300
Hf 3.9168 2.1939 0.0000
Pb 3.9168 5.9062 0.0000
```


(6)
# HfSi2PbO7

A relaxed HfSi2PbO7 crystal (PBE-GGA, the Open Quantum Materials Database).

Results
Space group: C2
Crystal system: monoclinic
Raw total energy (eV/cell): -88.83

Cell and atoms, written as extended XYZ:
```
11
Lattice="2.0543 2.6517 -4.4701 -5.0895 -1.4769 -1.7745 -1.3512 3.8369 2.2959" Properties=species:S:1:pos:R:3 pbc="T T T"
O -0.1736 1.8130 -1.6437
O -4.6263 3.2333 -3.0200
O -2.1883 4.3688 -3.0688
O -1.9521 0.5117 -0.1015
O -2.2840 1.7872 -3.3809
O -5.2458 0.7417 -0.8225
O -2.0691 3.2439 -0.5803
Hf -0.1911 1.3541 -3.6228
Si -3.1155 3.1540 -3.6448
Si -1.1591 1.9225 -0.3460
Pb -3.0596 -0.3037 -2.5404
```


(7)
# Hf31PdO63

A relaxed Hf31PdO63 crystal (PBE-GGA, the Open Quantum Materials Database).

Results
Space group: P1
Crystal system: triclinic
Raw total energy (eV/cell): -952.08

Cell and atoms, written as extended XYZ:
```
95
Lattice="-9.9453 -1.1966 0.3345 -0.2350 -0.4992 -10.0586 1.3071 -10.3530 0.4944" Properties=species:S:1:pos:R:3 pbc="T T T"
O -0.6527 -8.8445 -5.1216
O -4.6736 -10.5917 -2.4670
O -2.2746 -10.6852 0.5987
O -3.0029 -8.4406 -2.0176
O -8.6235 -3.8966 -2.0893
O -0.8806 -0.7104 -0.4256
O -0.8856 -7.7430 -7.7277
O -8.7366 -4.1066 -7.1122
O -5.9028 -1.5281 -5.3963
O -3.6704 -0.9053 -7.4251
O -8.1386 -9.2588 -9.3239
O -3.8528 -3.4780 -9.8048
O -0.8860 -1.0026 -5.5439
O -5.7230 -8.1173 -2.4820
O -8.2009 -8.8882 -1.7280
O -8.6708 -1.3378 -2.1049
O -5.2812 -6.8440 -5.0754
O -7.8747 -6.1200 0.5266
O -0.5479 -8.5810 -0.1467
O -0.2431 -6.2057 -5.3384
O -2.9893 -5.8086 -4.6648
O -8.0042 -6.3289 -4.5042
O -3.1533 -8.4894 -4.5742
O -3.5995 -0.6353 -2.3970
O -3.7710 -3.5484 -7.2761
O -8.6550 -1.4628 -7.2178
O -7.4297 -11.7886 -9.2329
O -5.7487 -8.4341 -7.3019
O -5.8187 -1.3346 -0.3365
O -6.4014 -2.9197 -2.7564
O -8.8461 -4.0712 -9.6346
O -3.1405 -6.0250 -9.6895
O -1.5350 -2.5819 -7.9329
O -3.7358 -3.2535 -4.7728
O -3.6724 -3.2683 -2.2456
O 0.1698 -10.2326 -7.5688
O -0.1868 -5.9130 -0.2470
O -7.2261 -11.5209 -4.2241
O -5.3497 -5.4504 -2.6592
O -6.1855 -4.0162 -0.1761
O -2.9584 -8.1446 0.4723
O -3.0471 -8.7394 -7.0834
O -7.9083 -8.9823 -4.3568
O -1.2218 -3.4167 -0.3542
O -8.0327 -6.6325 -7.0235
O -0.3918 -4.8422 -2.8205
O -0.8536 -7.4690 -2.7577
O -0.5118 -5.0656 -7.8590
O -2.2718 -10.9877 -4.4404
O -5.5080 -5.7321 -7.6550
O -7.8723 -6.3617 -1.9887
O -1.4164 -2.3270 -2.9075
O -8.0872 -9.2665 -6.8289
O -8.6982 -3.8139 -4.6059
O -2.9379 -5.7959 -2.1344
O -6.2761 -4.2661 -5.2142
O -5.5141 -9.1565 0.1507
O -5.1816 -6.5253 -0.0545
O -6.5049 -3.1795 -7.7866
O -1.3295 -3.6890 -5.3519
O 0.2384 -10.0052 -2.5840
O -4.8161 -10.8773 -7.4043
O -3.0576 -6.0988 -7.1734
Hf -4.3029 -7.3642 -8.3408
Hf -9.1473 -7.6723 -3.1084
Hf -1.5979 -9.6414 -8.3602
Hf -9.7808 -2.4851 -3.3589
Hf -4.5123 -4.9833 -5.9212
Hf -4.1728 -7.1033 -3.2948
Hf -1.5432 -9.3856 -3.2479
Hf -9.2937 -7.9213 -8.1842
Hf -6.7915 -7.6579 -0.7052
Hf -9.3828 -5.2932 -0.7293
Hf -6.9537 -7.7454 -5.7376
Hf -7.2845 -5.0409 -8.3861
Hf -7.5008 -2.6852 -5.9394
Hf -3.8081 -9.8668 -0.6783
Hf -3.7082 -10.2060 -5.7526
Hf -2.3190 -4.4667 -8.5442
Hf -1.8661 -7.2885 -5.8873
Hf -4.9645 -2.1648 -8.6098
Hf -2.2149 -4.2114 -3.4704
Hf -2.4273 -1.8231 -1.0966
Hf -2.4970 -2.1228 -6.1087
Hf -6.6396 -10.2355 -8.0776
Hf -4.8524 -1.8955 -3.5532
Hf -8.7976 -10.7304 -5.4544
Hf -4.4243 -4.7196 -0.8894
Hf -9.9295 -2.7256 -8.3981
Hf -7.1620 -4.7986 -3.3188
Hf -7.4277 -2.4220 -0.9279
Hf -9.5206 -5.5268 -5.7593
Hf -1.7702 -7.0109 -0.8702
Hf -8.6777 -10.4712 -0.5231
Pd -6.2827 -9.8312 -3.4159
```


(8)
# Pm2Hf2O5

A relaxed Pm2Hf2O5 crystal (PBE-GGA, the Open Quantum Materials Database).

Results
Space group: P4/mmm
Crystal system: tetragonal
Raw total energy (eV/cell): -79.63
Energy above the most stable polymorph in this dataset (eV per atom): 0.000

Cell and atoms, written as extended XYZ:
```
9
Lattice="7.3885 0.0000 0.0000 0.0000 4.1070 0.0000 0.0000 0.0000 4.1070" Properties=species:S:1:pos:R:3 pbc="T T T"
O 5.5152 2.0535 0.0000
O 1.8733 0.0000 2.0535
O 3.6943 2.0535 2.0535
O 1.8733 2.0535 0.0000
O 5.5152 0.0000 2.0535
Pm 0.0000 0.0000 0.0000
Pm 3.6943 0.0000 0.0000
Hf 5.7735 2.0535 2.0535
Hf 1.6150 2.0535 2.0535
```


(9)
# PmHfO3

A relaxed PmHfO3 crystal (PBE-GGA, the Open Quantum Materials Database).

Results
Space group: P4mm
Crystal system: tetragonal
Raw total energy (eV/cell): -44.92

Cell and atoms, written as extended XYZ:
```
5
Lattice="-2.4467 -2.7970 -1.8634 2.1752 0.4392 -3.5153 2.5588 -3.0400 1.2034" Properties=species:S:1:pos:R:3 pbc="T T T"
Hf 1.3739 -2.9725 -1.9794
O 0.0744 -2.9404 -0.3214
O 0.0365 -1.3836 -2.6084
O 2.3854 -1.3222 -1.1473
Pm 0.5841 -0.6940 0.2747
```


(10)
# PmHfO3

A relaxed PmHfO3 crystal (PBE-GGA, the Open Quantum Materials Database).

Results
Space group: Pnma
Crystal system: orthorhombic
Raw total energy (eV/cell): -177.99

Cell and atoms, written as extended XYZ:
```
20
Lattice="-5.8826 -1.3730 -0.6692 1.5032 -4.9955 -2.9641 0.1514 -3.8403 6.5488" Properties=species:S:1:pos:R:3 pbc="T T T"
O -0.9969 -7.3051 4.0504
O -3.5357 -7.3168 2.3943
O -0.6923 -2.8920 0.5212
O -0.4905 -4.5137 5.6756
O -3.2311 -2.9037 -1.1350
O -3.7968 -4.7046 3.9321
O -1.0557 -5.8151 1.5096
O -3.1724 -4.3937 1.4059
O -3.6788 -7.1850 -0.2193
O -0.5492 -3.0237 3.1348
O -3.7376 -5.6951 -2.7602
O -0.4312 -5.5042 -1.0167
Pm -2.8656 -2.6066 2.9398
Pm 0.7516 -2.4978 -1.4821
Pm 0.8273 -4.4179 1.7923
Pm -2.9413 -0.6865 -0.3346
Hf -0.0643 -1.0691 1.5756
Hf -4.1638 -9.1397 1.3398
Hf -2.2262 -6.0143 3.1278
Hf -2.0018 -4.1945 -0.2124
```


(11)
# PmHfO3

A relaxed PmHfO3 crystal (PBE-GGA, the Open Quantum Materials Database).

Results
Space group: P4mm
Crystal system: tetragonal
Raw total energy (eV/cell): -43.45

Cell and atoms, written as extended XYZ:
```
5
Lattice="3.5554 0.0000 0.0000 0.0000 3.5554 0.0000 0.0000 0.0000 5.7284" Properties=species:S:1:pos:R:3 pbc="T T T"
O 1.7777 1.7777 3.8877
O 0.0000 1.7777 0.2217
O 1.7777 0.0000 0.2217
Hf 0.0000 0.0000 4.8719
Pm 1.7777 1.7777 1.6811
```


(12)
# Pm2HfO4

A relaxed Pm2HfO4 crystal (PBE-GGA, the Open Quantum Materials Database).

Results
Space group: Fd-3m
Crystal system: cubic
Raw total energy (eV/cell): -120.24

Cell and atoms, written as extended XYZ:
```
14
Lattice="-3.5622 2.3384 -5.2801 6.7290 -0.7141 -0.4974 -3.9832 -5.4867 0.2592" Properties=species:S:1:pos:R:3 pbc="T T T"
Hf 0.0000 0.0000 0.0000
Hf -0.3029 0.0250 -4.1440
O -4.0431 -3.6190 -3.2336
O -2.3388 -4.7288 -0.5154
O -0.6732 -3.8745 -3.5542
O 3.1160 -2.3013 -0.8280
O 1.2012 -5.1041 -0.7765
O -1.9473 -0.7329 -3.3694
O 1.2417 -1.0717 -3.6057
O -0.2430 -1.8426 -0.6512
Pm 3.2130 -0.3445 -2.3207
Pm -2.1431 -2.7308 -1.9424
Pm -3.9242 -1.5616 -4.5825
Pm 1.2214 -3.0879 -2.1911
```


(13)
# PmHfO3

A relaxed PmHfO3 crystal (PBE-GGA, the Open Quantum Materials Database).

Results
Space group: R-3c
Crystal system: trigonal
Raw total energy (eV/cell): -90.36

Cell and atoms, written as extended XYZ:
```
10
Lattice="-2.1290 -3.5206 -3.5700 0.2021 1.7603 -5.1510 3.7515 -2.5571 -3.0100" Properties=species:S:1:pos:R:3 pbc="T T T"
O 2.8125 -1.9394 -6.7843
O 0.6387 -4.2213 -6.2826
O 2.0827 -2.9226 -4.2687
O 1.1860 -0.0962 -5.4484
O -0.9878 -2.3780 -4.9467
O -0.2580 -1.3949 -7.4623
Pm 1.3685 -3.2381 -8.7983
Pm 0.4562 -1.0794 -2.9328
Hf 0.0000 0.0000 0.0000
Hf 0.9123 -2.1587 -5.8655
```


(14)
# PmHfO3

A relaxed PmHfO3 crystal (PBE-GGA, the Open Quantum Materials Database).

Results
Space group: Pnma
Crystal system: orthorhombic
Raw total energy (eV/cell): -181.13

Cell and atoms, written as extended XYZ:
```
20
Lattice="-0.0658 0.9852 5.4862 2.3898 -5.4877 1.0141 7.1238 3.0179 -0.4565" Properties=species:S:1:pos:R:3 pbc="T T T"
O 4.3929 0.7560 0.9940
O 3.8678 0.3853 3.8862
O 4.0078 -4.0561 2.8350
O 6.6199 0.0511 4.9608
O 7.2219 1.9544 0.8127
O 2.2258 -3.4391 5.2311
O 5.5799 -1.8700 2.1577
O 2.8279 -1.5358 1.0831
O 5.4399 2.5714 3.2088
O 1.0388 -0.8131 4.0675
O 8.4089 -0.6715 1.9764
O 5.0548 -2.2406 5.0498
Pm 3.1206 -1.8838 3.3504
Pm 1.8961 1.3030 5.3099
Pm 6.3272 0.3991 2.6935
Pm 7.5516 -2.7877 0.7339
Hf 1.1949 -2.7438 0.5071
Hf 4.7568 -1.2349 0.2788
Hf -0.0329 0.4926 2.7431
Hf 3.5290 2.0015 2.5148
```


(15)
# PmHfO3

A relaxed PmHfO3 crystal (PBE-GGA, the Open Quantum Materials Database).

Results
Space group: R-3
Crystal system: trigonal
Raw total energy (eV/cell): -90.80

Cell and atoms, written as extended XYZ:
```
10
Lattice="-2.7614 4.7828 0.0000 2.7614 4.7828 0.0000 0.0000 3.1886 -5.1161" Properties=species:S:1:pos:R:3 pbc="T T T"
O -0.3759 4.7060 -1.3286
O -1.2593 7.5382 -1.3286
O 0.3759 8.0482 -3.7875
O 1.2592 5.2160 -3.7875
O 1.6352 6.8871 -1.3286
O -1.6352 5.8671 -3.7875
Hf 0.0000 6.3771 -0.1678
Hf 0.0000 6.3771 -4.9483
Pm 0.0000 9.5657 -1.8899
Pm 0.0000 3.1885 -3.2261
```


(16)
# Pm2Hf2O5

A relaxed Pm2Hf2O5 crystal (PBE-GGA, the Open Quantum Materials Database).

Results
Space group: P4/mmm
Crystal system: tetragonal
Raw total energy (eV/cell): -68.56
Energy above the most stable polymorph in this dataset (eV per atom): 1.229

Cell and atoms, written as extended XYZ:
```
9
Lattice="7.7219 0.0000 0.0000 0.0000 4.1898 0.0000 0.0000 0.0000 4.1898" Properties=species:S:1:pos:R:3 pbc="T T T"
Pm 1.7097 2.0949 2.0949
Pm 6.0121 2.0949 2.0949
O 2.4520 0.0000 2.0949
O 5.2699 2.0949 0.0000
O 3.8609 2.0949 2.0949
O 5.2699 0.0000 2.0949
O 2.4520 2.0949 0.0000
Hf 3.8609 0.0000 0.0000
Hf 0.0000 0.0000 0.0000
```


(17)
# PmHfO3

A relaxed PmHfO3 crystal (PBE-GGA, the Open Quantum Materials Database).

Results
Space group: R-3c
Crystal system: trigonal
Raw total energy (eV/cell): -88.27

Cell and atoms, written as extended XYZ:
```
10
Lattice="3.0514 -1.7617 -4.6152 -3.0514 -1.7617 -4.6152 0.0000 3.5235 -4.6152" Properties=species:S:1:pos:R:3 pbc="T T T"
Pm 0.0000 0.0000 -6.9227
Pm 0.0000 0.0000 0.0000
Hf 0.0000 0.0000 -3.4614
Hf 0.0000 0.0000 -10.3841
O 1.0805 1.7617 -5.7689
O -0.9855 1.8166 -8.0765
O -2.0660 0.0549 -5.7689
O 2.0660 -0.0549 -8.0765
O -1.0805 -1.7617 -8.0765
O 0.9855 -1.8166 -5.7689
```


(18)
# Pr2Hf2O5

A relaxed Pr2Hf2O5 crystal (PBE-GGA, the Open Quantum Materials Database).

Results
Space group: P4/mmm
Crystal system: tetragonal
Raw total energy (eV/cell): -79.91
Energy above the most stable polymorph in this dataset (eV per atom): 0.000

Cell and atoms, written as extended XYZ:
```
9
Lattice="7.4407 0.0000 0.0000 0.0000 4.1270 0.0000 0.0000 0.0000 4.1270" Properties=species:S:1:pos:R:3 pbc="T T T"
Hf 1.6346 2.0635 2.0635
Hf 5.8061 2.0635 2.0635
O 5.5574 0.0000 2.0635
O 1.8832 0.0000 2.0635
O 1.8832 2.0635 0.0000
O 5.5574 2.0635 0.0000
O 3.7203 2.0635 2.0635
Pr 3.7203 0.0000 0.0000
Pr 0.0000 0.0000 0.0000
```